1.
A plane-wave DFT calculation with PBE was carried out for a relaxed Be2Pt crystal.

The calculation puts the mass density at 11054 kg/m³. For the polymorph energy (0 for the lowest one), the calculation gives 32 meV/atom. The value obtained for the energy of formation from the pure elements is -615 meV/atom.

The space group is Cmcm (No. 63) and the conventional cell measures 3.1210, 11.3635 and 3.6107 Å, with angles of 90.00, 90.00 and 90.00 degrees. The inequivalent atoms are Be at (0.0000, 0.0725, 0.2500), Be at (0.0000, 0.2586, 0.7500) and Pt at (0.0000, 0.4002, 0.2500).

---

2.
A plane-wave DFT calculation with PBE was carried out for a relaxed K3PuGe2O8 crystal.

The calculation puts the mass density at 4480 kg/m³. Its uncorrected energy is -6.74 eV per atom.

The space group is P-3m1 (No. 164) and the conventional cell measures 5.9013, 5.9013 and 7.7993 Å, with angles of 90.00, 90.00 and 120.00 degrees. The inequivalent atoms are K at (0.0000, 0.0000, 0.0000), K at (0.3333, 0.6667, 0.7091), Pu at (0.0000, 0.0000, 0.5000), Ge at (0.3333, 0.6667, 0.2473), O at (0.1707, 0.3414, 0.3396) and O at (0.3333, 0.6667, 0.0304).

---

3.
A plane-wave DFT calculation with PBE was carried out for a relaxed Nd2InCuS5 crystal.

The calculation puts the mass density at 5515 kg/m³. For the polymorph energy (0 for the lowest one), the calculation gives 42 meV/atom.

The space group is Cmc2_1 (No. 36) and the conventional cell measures 3.9103, 16.5818 and 11.6504 Å, with angles of 90.00, 90.00 and 90.00 degrees. The inequivalent atoms are Nd at (0.0000, 0.1116, 0.0000), Nd at (0.0000, 0.1215, 0.6148), In at (0.0000, 0.1924, 0.3149), Cu at (0.0000, 0.5002, 0.2968), S at (0.0000, 0.0433, 0.3759), S at (0.0000, 0.2887, 0.9736), S at (0.0000, 0.3000, 0.6578), S at (0.0000, 0.3538, 0.3118) and S at (0.0000, 0.4963, 0.6011).

---

4.
A plane-wave DFT calculation with PBE was carried out for a relaxed MgMnTe2 crystal.

The calculation puts the mass density at 4391 kg/m³. Its uncorrected energy is -4.37 eV per atom.

The space group is Pmmm (No. 47) and the conventional cell measures 3.9286, 4.0225 and 8.0033 Å, with angles of 90.00, 90.00 and 90.00 degrees. The inequivalent atoms are Mg at (0.0000, 0.0000, 0.0000), Mn at (0.0000, 0.5000, 0.5000), Te at (0.5000, 0.0000, 0.5000) and Te at (0.5000, 0.5000, 0.0000).

---

5.
A plane-wave DFT calculation with PBE was carried out for a relaxed Ni5Pb3Cl12 crystal.

The calculation puts the mass density at 4856 kg/m³. Its uncorrected energy is -3.72 eV per atom.

The space group is Ia-3d (No. 230) and the conventional cell measures 15.4205, 15.4205 and 15.4205 Å, with angles of 90.00, 90.00 and 90.00 degrees. The inequivalent atoms are Ni at (0.0000, 0.0000, 0.0000), Ni at (0.0000, 0.2500, 0.3750), Pb at (0.0000, 0.2500, 0.1250) and Cl at (0.0325, 0.0533, 0.6469).

---

6.
A plane-wave DFT calculation with PBE was carried out for a relaxed K6LiAu crystal.

The calculation puts the mass density at 1617 kg/m³. The value obtained for the energy of formation from the pure elements is -73 meV/atom.

The space group is Amm2 (No. 38) and the conventional cell measures 4.5458, 13.3589 and 14.8318 Å, with angles of 90.00, 90.00 and 90.00 degrees. The inequivalent atoms are K at (0.0000, 0.0000, 0.0000), K at (0.0000, 0.1541, 0.7159), K at (0.5000, 0.0000, 0.2657), K at (0.5000, 0.2176, 0.4730), Li at (0.0000, 0.0000, 0.5067) and Au at (0.5000, 0.0000, 0.5928).

---

7.
A plane-wave DFT calculation with PBE was carried out for a relaxed GePtI2O crystal.

The calculation puts the mass density at 7197 kg/m³. For the polymorph energy (0 for the lowest one), the calculation gives 0 meV/atom.

The space group is P4/mmm (No. 123) and the conventional cell measures 5.6711, 5.6711 and 3.8560 Å, with angles of 90.00, 90.00 and 90.00 degrees. The inequivalent atoms are Ge at (0.0000, 0.0000, 0.0000), Pt at (0.5000, 0.5000, 0.5000), I at (0.0000, 0.5000, 0.5000) and O at (0.5000, 0.5000, 0.0000).

---

8.
A plane-wave DFT calculation with PBE was carried out for a relaxed RbCaS crystal.

The calculation puts the mass density at 1872 kg/m³. Its uncorrected energy is -3.56 eV per atom.

The space group is R-3m (No. 166, hexagonal axes) and the conventional cell measures 4.7425, 4.7425 and 43.0732 Å, with angles of 90.00, 90.00 and 120.00 degrees. The inequivalent atoms are Rb at (0.0000, 0.0000, 0.1179), Ca at (0.0000, 0.0000, 0.3027) and S at (0.0000, 0.0000, 0.3679).

---

What is the formula in the seventh record? GePtI2O